No. 1
## NaZnIn2Br4 (GGA-PBE)

Data for NaZnIn2Br4 after structural relaxation.

Geometry as CIF:
```
data_NaZnIn2Br4
_cell_length_a 6.375
_cell_length_b 6.822
_cell_length_c 6.957
_cell_angle_alpha 63.62
_cell_angle_beta 78.81
_cell_angle_gamma 81.93
_symmetry_space_group_name_H-M 'P 1'
_symmetry_Int_Tables_number 1
loop_
_symmetry_equiv_pos_as_xyz
'x,y,z'
loop_
_atom_site_label
_atom_site_type_symbol
_atom_site_fract_x
_atom_site_fract_y
_atom_site_fract_z
_atom_site_occupancy
Na1 Na 0.000 0.000 0.000 1
Zn1 Zn 0.800 0.611 0.690 1
In1 In 0.488 0.435 0.051 1
In2 In 0.531 0.417 0.517 1
Br1 Br 0.043 0.592 0.963 1
Br2 Br 0.057 0.360 0.566 1
Br3 Br 0.468 0.037 0.977 1
Br4 Br 0.800 0.989 0.416 1
```

---

No. 2
## NaZn2InBr6 (GGA-PBE)

Data for NaZn2InBr6 after structural relaxation.

Geometry as CIF:
```
data_NaZn2InBr6
_cell_length_a 14.045
_cell_length_b 13.917
_cell_length_c 7.098
_cell_angle_alpha 90.00
_cell_angle_beta 99.16
_cell_angle_gamma 90.00
_symmetry_space_group_name_H-M 'C 1 2/c 1'
_symmetry_Int_Tables_number 15
loop_
_symmetry_equiv_pos_as_xyz
'x,y,z'
'-x,-y,-z'
'-x,y,-z+1/2'
'x,-y,z+1/2'
'x+1/2,y+1/2,z'
'-x+1/2,-y+1/2,-z'
'-x+1/2,y+1/2,-z+1/2'
'x+1/2,-y+1/2,z+1/2'
loop_
_atom_site_label
_atom_site_type_symbol
_atom_site_fract_x
_atom_site_fract_y
_atom_site_fract_z
_atom_site_occupancy
Na1 Na 0.000 0.207 0.250 1
Zn1 Zn 0.202 0.083 0.772 1
In1 In 0.000 0.399 0.750 1
Br1 Br 0.123 0.221 0.618 1
Br2 Br 0.125 0.400 0.183 1
Br3 Br 0.147 0.066 0.092 1
```

---

No. 3
## NaZnInBr4 (GGA-PBE)

Data for NaZnInBr4 after structural relaxation.

Geometry as CIF:
```
data_NaZnInBr4
_cell_length_a 7.199
_cell_length_b 7.543
_cell_length_c 8.793
_cell_angle_alpha 90.00
_cell_angle_beta 107.03
_cell_angle_gamma 90.00
_symmetry_space_group_name_H-M 'P 1 21/m 1'
_symmetry_Int_Tables_number 11
loop_
_symmetry_equiv_pos_as_xyz
'x,y,z'
'-x,-y,-z'
'-x,y+1/2,-z'
'x,-y+1/2,z'
loop_
_atom_site_label
_atom_site_type_symbol
_atom_site_fract_x
_atom_site_fract_y
_atom_site_fract_z
_atom_site_occupancy
Na1 Na 0.228 0.250 0.059 1
Zn1 Zn 0.235 0.750 0.819 1
In1 In 0.242 0.250 0.565 1
Br1 Br 0.008 0.000 0.771 1
Br2 Br 0.431 0.750 0.637 1
Br3 Br 0.447 0.750 0.090 1
```

---

No. 4
## NaZrInBr6 (GGA-PBE)

Data for NaZrInBr6 after structural relaxation.

Geometry as CIF:
```
data_NaZrInBr6
_cell_length_a 7.4323
_cell_length_b 7.4323
_cell_length_c 13.7012
_cell_angle_alpha 90.00
_cell_angle_beta 90.00
_cell_angle_gamma 120.00
_symmetry_space_group_name_H-M 'P -3 1 c'
_symmetry_Int_Tables_number 163
_symmetry_space_group_name_Hall '-P 3 2c'
loop_
_atom_site_label
_atom_site_type_symbol
_atom_site_fract_x
_atom_site_fract_y
_atom_site_fract_z
_atom_site_occupancy
Na1 Na 0.3333 0.6667 0.2500 1
Zr1 Zr 0.3333 0.6667 0.7500 1
In1 In 0.0000 0.0000 0.0000 1
Br1 Br 0.0338 0.3846 0.6370 1
```

---

No. 5
## NbIn3Br8 (GGA-PBE)

Data for NbIn3Br8 after structural relaxation.

Geometry as CIF:
```
data_NbIn3Br8
_cell_length_a 9.3297
_cell_length_b 9.3297
_cell_length_c 12.5659
_cell_angle_alpha 90.00
_cell_angle_beta 90.00
_cell_angle_gamma 120.00
_symmetry_space_group_name_H-M 'P 63 m c'
_symmetry_Int_Tables_number 186
_symmetry_space_group_name_Hall 'P 6c -2c'
loop_
_atom_site_label
_atom_site_type_symbol
_atom_site_fract_x
_atom_site_fract_y
_atom_site_fract_z
_atom_site_occupancy
Nb1 Nb 0.3333 0.6667 0.0000 1
In1 In 0.1741 0.3482 0.7123 1
Br1 Br 0.0000 0.0000 0.3128 1
Br2 Br 0.0749 0.5375 0.8843 1
Br3 Br 0.2036 0.4072 0.1227 1
Br4 Br 0.3333 0.6667 0.5765 1
```

---

No. 6
## NbInBr6 (GGA-PBE)

Data for NbInBr6 after structural relaxation.

Geometry as CIF:
```
data_NbInBr6
_cell_length_a 8.017
_cell_length_b 13.451
_cell_length_c 6.624
_cell_angle_alpha 90.00
_cell_angle_beta 105.99
_cell_angle_gamma 90.00
_symmetry_space_group_name_H-M 'C 1 2/m 1'
_symmetry_Int_Tables_number 12
loop_
_symmetry_equiv_pos_as_xyz
'x,y,z'
'-x,-y,-z'
'-x,y,-z'
'x,-y,z'
'x+1/2,y+1/2,z'
'-x+1/2,-y+1/2,-z'
'-x+1/2,y+1/2,-z'
'x+1/2,-y+1/2,z'
loop_
_atom_site_label
_atom_site_type_symbol
_atom_site_fract_x
_atom_site_fract_y
_atom_site_fract_z
_atom_site_occupancy
Nb1 Nb 0.000 0.000 0.000 1
In1 In 0.000 0.500 0.000 1
Br1 Br 0.147 0.133 0.834 1
Br2 Br 0.236 0.500 0.678 1
```

---

No. 7
## NbIn2Br5 (GGA-PBE)

Data for NbIn2Br5 after structural relaxation.

Geometry as CIF:
```
data_NbIn2Br5
_cell_length_a 6.955
_cell_length_b 7.690
_cell_length_c 7.692
_cell_angle_alpha 103.20
_cell_angle_beta 110.79
_cell_angle_gamma 111.26
_symmetry_space_group_name_H-M 'P 1'
_symmetry_Int_Tables_number 1
loop_
_symmetry_equiv_pos_as_xyz
'x,y,z'
loop_
_atom_site_label
_atom_site_type_symbol
_atom_site_fract_x
_atom_site_fract_y
_atom_site_fract_z
_atom_site_occupancy
Nb1 Nb 0.000 0.000 0.000 1
In1 In 0.376 0.202 0.655 1
In2 In 0.377 0.658 0.203 1
Br1 Br 0.005 0.785 0.232 1
Br2 Br 0.010 0.235 0.788 1
Br3 Br 0.054 0.287 0.287 1
Br4 Br 0.364 0.002 0.001 1
Br5 Br 0.603 0.714 0.714 1
```

---

No. 8
## NbInBr4 (GGA-PBE)

Data for NbInBr4 after structural relaxation.

Geometry as CIF:
```
data_NbInBr4
_cell_length_a 10.796
_cell_length_b 10.574
_cell_length_c 6.271
_cell_angle_alpha 90.00
_cell_angle_beta 102.80
_cell_angle_gamma 90.00
_symmetry_space_group_name_H-M 'C 1 2/c 1'
_symmetry_Int_Tables_number 15
loop_
_symmetry_equiv_pos_as_xyz
'x,y,z'
'-x,-y,-z'
'-x,y,-z+1/2'
'x,-y,z+1/2'
'x+1/2,y+1/2,z'
'-x+1/2,-y+1/2,-z'
'-x+1/2,y+1/2,-z+1/2'
'x+1/2,-y+1/2,z+1/2'
loop_
_atom_site_label
_atom_site_type_symbol
_atom_site_fract_x
_atom_site_fract_y
_atom_site_fract_z
_atom_site_occupancy
Nb1 Nb 0.000 0.003 0.250 1
In1 In 0.000 0.481 0.250 1
Br1 Br 0.072 0.205 0.526 1
Br2 Br 0.205 0.072 0.076 1
```

---

Formation energy (no corrections) per entry: -0.7671, -0.9533, -1.0025, -1.2709, -0.7364, -0.8006, -0.6627, -0.5944 eV/atom
Volume per entry: 265.38, 1369.71, 456.57, 655.44, 947.23, 686.74, 326.97, 698.07 Å³ per cell